[1]
First-principles (PBE-GGA) data for a relaxed structure of MnCdIn4Se8, as listed in Alexandria.

The space group is R3m (No. 160, hexagonal axes) and the conventional cell measures 8.1447, 8.1447 and 19.7119 Å, with angles of 90.00, 90.00 and 120.00 degrees. The inequivalent atoms are Mn at (0.0000, 0.0000, 0.0000), Cd at (0.0000, 0.0000, 0.3793), In at (0.0000, 0.0000, 0.6174), In at (0.1708, 0.3416, 0.8297), Se at (0.0000, 0.0000, 0.2412), Se at (0.0000, 0.0000, 0.7547), Se at (0.0312, 0.5156, 0.7475) and Se at (0.1830, 0.3660, 0.5804).

The value obtained for the density of states at the Fermi level is 7.30 states/eV/cell. The raw formation energy comes out at -509 meV/atom. Its total energy is -4.003 eV/atom. The value obtained for the total moment is 0.351 μB per atom.

[2]
First-principles (PBE-GGA) data for a relaxed structure of MnCdInSn2, as listed in Alexandria.

The space group is P4/mmm (No. 123) and the conventional cell measures 4.9886, 4.9886 and 5.1474 Å, with angles of 90.00, 90.00 and 90.00 degrees. The inequivalent atoms are Mn at (0.0000, 0.0000, 0.0000), Cd at (0.5000, 0.5000, 0.5000), In at (0.0000, 0.0000, 0.5000) and Sn at (0.0000, 0.5000, 0.0000).

The value obtained for the density of states at the Fermi level is 0.56 states/eV/cell. Its energy of formation from the pure elements is 171 meV per atom. Its total energy is -3.995 eV/atom. Its energy relative to the lowest polymorph listed for this composition is 0.0000 eV/atom. The value obtained for the total moment is 0.000 μB per atom.